Run a
# ZrTlCr2

A relaxed structure of ZrTlCr2 (GGA-PBE, Alexandria).

It has space group I-42d (No. 122), with a = 7.4895 Å, b = 7.4895 Å, c = 5.9563 Å, α = 90.00°, β = 90.00° and γ = 90.00°. Symmetry generates all atoms from Zr at (0.0000, 0.0000, 0.0000), Tl at (0.0000, 0.0000, 0.5000) and Cr at (0.2471, 0.2500, 0.1250).

The value obtained for the magnetization is 1.702 μB/atom. As for the density of states at the Fermi level: 0.909 states/eV per atom.



Run b
# ZrTlCr2

A relaxed structure of ZrTlCr2 (GGA-PBE, Alexandria).

It has space group P4/mmm (No. 123), with a = 4.3760 Å, b = 4.3760 Å, c = 3.7655 Å, α = 90.00°, β = 90.00° and γ = 90.00°. Symmetry generates all atoms from Zr at (0.0000, 0.0000, 0.0000), Tl at (0.5000, 0.5000, 0.0000) and Cr at (0.0000, 0.5000, 0.5000).

The value obtained for the magnetization is 1.245 μB/atom. As for the density of states at the Fermi level: 0.764 states/eV per atom.



Run c
# ZrTlCr2

A relaxed structure of ZrTlCr2 (GGA-PBE, Alexandria).

It has space group P2/m (No. 10), with a = 3.0366 Å, b = 4.5417 Å, c = 5.4962 Å, α = 90.00°, β = 94.98° and γ = 90.00°. Symmetry generates all atoms from Zr at (0.0000, 0.0000, 0.0000), Tl at (0.5000, 0.0000, 0.5000) and Cr at (0.3556, 0.5000, 0.8292).

The value obtained for the magnetization is 0.000 μB/atom. As for the density of states at the Fermi level: 0.777 states/eV per atom.



It is run b that is most stable; the runner-up trails by 56 meV per atom.



Run a
# ZrTlCr

A relaxed structure of ZrTlCr (GGA-PBE, Alexandria).

It has space group I4mm (No. 107), with a = 3.2893 Å, b = 3.2893 Å, c = 11.3044 Å, α = 90.00°, β = 90.00° and γ = 90.00°. Symmetry generates all atoms from Zr at (0.0000, 0.0000, 0.0000), Tl at (0.0000, 0.0000, 0.6935) and Cr at (0.0000, 0.0000, 0.3506).

The value obtained for the magnetization is 0.912 μB/atom. As for the density of states at the Fermi level: 0.570 states/eV per atom.



Run b
# ZrTlCr

A relaxed structure of ZrTlCr (GGA-PBE, Alexandria).

It has space group P-6m2 (No. 187), with a = 4.7330 Å, b = 4.7330 Å, c = 3.2231 Å, α = 90.00°, β = 90.00° and γ = 120.00°. Symmetry generates all atoms from Zr at (0.0000, 0.0000, 0.0000), Tl at (0.3333, 0.6667, 0.5000) and Cr at (0.6667, 0.3333, 0.5000).

The value obtained for the magnetization is 1.142 μB/atom. As for the density of states at the Fermi level: 0.805 states/eV per atom.



Run c
# ZrTlCr

A relaxed structure of ZrTlCr (GGA-PBE, Alexandria).

It has space group F-43m (No. 216), with a = 6.5342 Å, b = 6.5342 Å, c = 6.5342 Å, α = 90.00°, β = 90.00° and γ = 90.00°. Symmetry generates all atoms from Zr at (0.0000, 0.0000, 0.0000), Tl at (0.0000, 0.0000, 0.5000) and Cr at (0.2500, 0.2500, 0.7500).

The value obtained for the magnetization is 1.670 μB/atom. As for the density of states at the Fermi level: 0.139 states/eV per atom.



Run d
# ZrTlCr

A relaxed structure of ZrTlCr (GGA-PBE, Alexandria).

It has space group P3m1 (No. 156), with a = 3.2419 Å, b = 3.2419 Å, c = 7.0404 Å, α = 90.00°, β = 90.00° and γ = 120.00°. Symmetry generates all atoms from Zr at (0.0000, 0.0000, 0.0000), Tl at (0.3333, 0.6667, 0.6287) and Cr at (0.6667, 0.3333, 0.2977).

The value obtained for the magnetization is 0.816 μB/atom. As for the density of states at the Fermi level: 0.878 states/eV per atom.



It is run a that is most stable; the runner-up trails by 70 meV per atom.



Run a
# UVCr

A relaxed structure of UVCr (GGA-PBE, Alexandria).

It has space group I4mm (No. 107), with a = 2.8910 Å, b = 2.8910 Å, c = 11.1914 Å, α = 90.00°, β = 90.00° and γ = 90.00°. Symmetry generates all atoms from U at (0.0000, 0.0000, 0.0000), V at (0.0000, 0.0000, 0.7007) and Cr at (0.0000, 0.0000, 0.3214).

The value obtained for the magnetization is 0.004 μB/atom. As for the density of states at the Fermi level: 2.667 states/eV per atom.



Run b
# UVCr

A relaxed structure of UVCr (GGA-PBE, Alexandria).

It has space group P-1 (No. 2), with a = 2.7583 Å, b = 5.1417 Å, c = 6.7083 Å, α = 103.47°, β = 101.21° and γ = 90.96°. Symmetry generates all atoms from U at (0.0615, 0.4400, 0.1851), V at (0.1980, 0.0324, 0.8206) and Cr at (0.4071, 0.7606, 0.4748).

The value obtained for the magnetization is 0.000 μB/atom. As for the density of states at the Fermi level: 1.398 states/eV per atom.



It is run b that is most stable; the runner-up trails by 102 meV per atom.



Run a
# V4Cr3

A relaxed structure of V4Cr3 (GGA-PBE, Alexandria).

It has space group C2/m (No. 12), with a = 7.1717 Å, b = 4.0994 Å, c = 6.4349 Å, α = 90.00°, β = 112.10° and γ = 90.00°. Symmetry generates all atoms from V at (0.0697, 0.0000, 0.2101), V at (0.2144, 0.0000, 0.6434), Cr at (0.0000, 0.5000, 0.5000) and Cr at (0.1427, 0.5000, 0.9275).

The value obtained for the magnetization is 0.000 μB/atom. As for the density of states at the Fermi level: 1.106 states/eV per atom.



Run b
# V4Cr3

A relaxed structure of V4Cr3 (GGA-PBE, Alexandria).

It has space group Cm (No. 8), with a = 9.2839 Å, b = 2.9139 Å, c = 6.5565 Å, α = 90.00°, β = 98.05° and γ = 90.00°. Symmetry generates all atoms from V at (0.0000, 0.0000, 0.0000), V at (0.0624, 0.5000, 0.7017), V at (0.1428, 0.0000, 0.4152), V at (0.2814, 0.0000, 0.8483), Cr at (0.2150, 0.5000, 0.1359), Cr at (0.3557, 0.5000, 0.5591) and Cr at (0.4220, 0.0000, 0.2780).

The value obtained for the magnetization is 0.000 μB/atom. As for the density of states at the Fermi level: 1.047 states/eV per atom.



It is run b that is most stable; the runner-up trails by 8 meV per atom.



Run a
# VCrW3

A relaxed structure of VCrW3 (GGA-PBE, Alexandria).

It has space group Pm-3m (No. 221), with a = 4.4768 Å, b = 4.4768 Å, c = 4.4768 Å, α = 90.00°, β = 90.00° and γ = 90.00°. Symmetry generates all atoms from V at (0.0000, 0.0000, 0.0000), Cr at (0.5000, 0.5000, 0.5000) and W at (0.0000, 0.5000, 0.5000).

The value obtained for the magnetization is 0.304 μB/atom. As for the density of states at the Fermi level: 1.445 states/eV per atom.



Run b
# VCrW3

A relaxed structure of VCrW3 (GGA-PBE, Alexandria).

It has space group Pm-3m (No. 221), with a = 4.5251 Å, b = 4.5251 Å, c = 4.5251 Å, α = 90.00°, β = 90.00° and γ = 90.00°. Symmetry generates all atoms from V at (0.0000, 0.0000, 0.0000), Cr at (0.5000, 0.5000, 0.5000) and W at (0.0000, 0.0000, 0.5000).

The value obtained for the magnetization is 0.671 μB/atom. As for the density of states at the Fermi level: 1.239 states/eV per atom.



It is run a that is most stable; the runner-up trails by 200 meV per atom.



Run a
# VCrW3

A relaxed structure of VCrW3 (GGA-PBE, Alexandria).

It has space group C2/c (No. 15), with a = 10.2547 Å, b = 13.3616 Å, c = 4.4630 Å, α = 90.00°, β = 96.34° and γ = 90.00°. Symmetry generates all atoms from V at (0.0000, 0.0842, 0.2500), V at (0.0000, 0.2447, 0.7500), Cr at (0.2128, 0.4200, 0.6322), W at (0.0728, 0.4187, 0.0392), W at (0.1471, 0.0836, 0.7936) and W at (0.1659, 0.2446, 0.2535).

The value obtained for the magnetization is 0.000 μB/atom. As for the density of states at the Fermi level: 0.807 states/eV per atom.



Run b
# VCrW3

A relaxed structure of VCrW3 (GGA-PBE, Alexandria).

It has space group C2/m (No. 12), with a = 5.2364 Å, b = 8.3791 Å, c = 7.4080 Å, α = 90.00°, β = 107.11° and γ = 90.00°. Symmetry generates all atoms from V at (0.2301, 0.0000, 0.0256), Cr at (0.0000, 0.2568, 0.5000), W at (0.1287, 0.3350, 0.2219) and W at (0.2030, 0.0000, 0.3848).

The value obtained for the magnetization is 0.000 μB/atom. As for the density of states at the Fermi level: 0.888 states/eV per atom.



It is run a that is most stable; the runner-up trails by 181 meV per atom.



Run a
# VCrW2

A relaxed structure of VCrW2 (GGA-PBE, Alexandria).

It has space group P4/mmm (No. 123), with a = 4.3248 Å, b = 4.3248 Å, c = 3.0505 Å, α = 90.00°, β = 90.00° and γ = 90.00°. Symmetry generates all atoms from V at (0.0000, 0.0000, 0.0000), Cr at (0.5000, 0.5000, 0.0000) and W at (0.0000, 0.5000, 0.5000).

The value obtained for the magnetization is 0.000 μB/atom. As for the density of states at the Fermi level: 0.323 states/eV per atom.



Run b
# VCrW2

A relaxed structure of VCrW2 (GGA-PBE, Alexandria).

It has space group I-42d (No. 122), with a = 6.8534 Å, b = 6.8534 Å, c = 5.2842 Å, α = 90.00°, β = 90.00° and γ = 90.00°. Symmetry generates all atoms from V at (0.0000, 0.0000, 0.0000), Cr at (0.0000, 0.0000, 0.5000) and W at (0.2367, 0.2500, 0.6250).

The value obtained for the magnetization is 0.000 μB/atom. As for the density of states at the Fermi level: 1.157 states/eV per atom.



Run c
# VCrW2

A relaxed structure of VCrW2 (GGA-PBE, Alexandria).

It has space group Fm-3m (No. 225), with a = 6.1085 Å, b = 6.1085 Å, c = 6.1085 Å, α = 90.00°, β = 90.00° and γ = 90.00°. Symmetry generates all atoms from V at (0.0000, 0.0000, 0.0000), Cr at (0.0000, 0.0000, 0.5000) and W at (0.2500, 0.2500, 0.2500).

The value obtained for the magnetization is 0.000 μB/atom. As for the density of states at the Fermi level: 0.781 states/eV per atom.



It is run a that is most stable; the runner-up trails by 12 meV per atom.



Run a
# VCrW2

A relaxed structure of VCrW2 (GGA-PBE, Alexandria).

It has space group P4/mmm (No. 123), with a = 3.0563 Å, b = 3.0563 Å, c = 6.1254 Å, α = 90.00°, β = 90.00° and γ = 90.00°. Symmetry generates all atoms from V at (0.0000, 0.0000, 0.0000), Cr at (0.0000, 0.0000, 0.5000) and W at (0.5000, 0.5000, 0.2540).

The value obtained for the magnetization is 0.000 μB/atom. As for the density of states at the Fermi level: 0.654 states/eV per atom.



Run b
# VCrW2

A relaxed structure of VCrW2 (GGA-PBE, Alexandria).

It has space group Immm (No. 71), with a = 2.6025 Å, b = 4.8642 Å, c = 10.0022 Å, α = 90.00°, β = 90.00° and γ = 90.00°. Symmetry generates all atoms from V at (0.0000, 0.0000, 0.0000), Cr at (0.0000, 0.0000, 0.5000) and W at (0.0000, 0.0000, 0.2618).

The value obtained for the magnetization is 0.000 μB/atom. As for the density of states at the Fermi level: 1.138 states/eV per atom.



It is run a that is most stable; the runner-up trails by 958 meV per atom.